Record 1
# ZnNi6Rh

A crystal of ZnNi6Rh relaxed with PBEsol (SCAN, Alexandria).

* magnetic moment: 4.8 μB/f.u.
* DFT total energy: -578.848 eV per cell

a = 6.129 Å, b = 6.129 Å, c = 10.004 Å
α = 90.00°, β = 90.00°, γ = 109.52°
Element x y z (fractional)
Ni 0.250 0.750 0.750
Ni 0.874 0.624 0.876
Ni 0.126 0.376 0.876
Ni 0.750 0.250 0.750
Ni 0.376 0.126 0.876
Ni 0.624 0.874 0.876
Ni 0.500 0.500 0.500
Ni 0.126 0.375 0.626
Ni 0.375 0.126 0.626
Ni 0.250 0.750 0.250
Ni 0.874 0.625 0.374
Ni 0.126 0.375 0.374
Ni 0.750 0.250 0.250
Ni 0.375 0.126 0.374
Ni 0.625 0.874 0.374
Ni 0.500 0.500 0.000
Ni 0.126 0.376 0.124
Ni 0.376 0.126 0.124
Ni 0.000 0.000 0.500
Ni 0.625 0.874 0.626
Ni 0.874 0.625 0.626
Ni 0.000 0.000 0.000
Ni 0.624 0.874 0.124
Ni 0.874 0.624 0.124
Rh 0.251 0.749 0.500
Rh 0.749 0.251 0.500
Rh 0.000 0.000 0.752
Rh 0.000 0.000 0.248
Zn 0.249 0.751 0.000
Zn 0.751 0.249 0.000
Zn 0.500 0.500 0.752
Zn 0.500 0.500 0.248

---

Record 2
# MnZn3Fe

A crystal of MnZn3Fe relaxed with PBEsol (SCAN, Alexandria).

* magnetic moment: 5.8 μB/f.u.
* DFT total energy: -72.137 eV per cell

a = 4.475 Å, b = 4.475 Å, c = 4.475 Å
α = 90.00°, β = 90.00°, γ = 90.00°
Element x y z (fractional)
Zn 0.000 0.500 0.000
Zn 0.000 0.000 0.500
Zn 0.500 0.000 0.000
Mn 0.000 0.000 0.000
Fe 0.500 0.500 0.500